This record from the Alexandria database describes an optimized crystal structure of CuBRh3. The functional is PBE-GGA.

Output
For the formation energy, the calculation gives 0.058 eV/atom. Its calculated total energy is -32.54 eV per cell. As for the offset from the most stable computed form: 0.1330 eV per atom.

```
data_CuBRh3
_chemical_formula_sum 'Cu1 B1 Rh3'
_cell_length_a 4.0599
_cell_length_b 4.0599
_cell_length_c 4.0599
_cell_angle_alpha 90.00
_cell_angle_beta 90.00
_cell_angle_gamma 90.00
_space_group_name_H-M_alt 'P m -3 m'
_space_group_IT_number 221
_space_group_name_Hall '-P 4 2 3'
loop_
_atom_site_label
_atom_site_type_symbol
_atom_site_fract_x
_atom_site_fract_y
_atom_site_fract_z
_atom_site_occupancy
Cu1 Cu 0.0000 0.0000 0.0000 1
B1 B 0.5000 0.5000 0.5000 1
Rh1 Rh 0.0000 0.5000 0.5000 1
```